Below is a relaxed structure of TlCuOsSeS2, with properties calculated at the PBE level.

Computed properties:
The value obtained for the volume is 20.87 A^3/atom. As for the space group: No. 63. The calculation puts the total energy at -4.9291 eV/atom.

a b c (Å): 7.466 7.466 9.507
angles (deg): 90.00 90.00 151.80
Element x y z (fractional)
Os: 0.500 0.500 0.000
Os: 0.500 0.500 0.500
Tl: 0.260 0.740 0.250
Tl: 0.740 0.260 0.750
Se: 0.427 0.573 0.750
Se: 0.573 0.427 0.250
S: 0.107 0.893 0.963
S: 0.107 0.893 0.537
S: 0.893 0.107 0.463
S: 0.893 0.107 0.037
Cu: 0.041 0.959 0.750
Cu: 0.959 0.041 0.250